No. 1
An optimized crystal structure of CaYHo2. Source: Alexandria, functional PBE.

Results
* ΔH_f (0 K): 0.08 eV per atom
* ρ: 5.7 Mg/m³
* uncorrected energy: -4.32 eV per atom

abc: 3.6022 3.6022 10.3884
angles: 90.00 90.00 90.00
Space group P4/mmm (No. 123)
Inequivalent atoms, fractional coordinates:
1 Ca 0.0000 0.0000 0.0000 x1
2 Y 0.0000 0.0000 0.5000 x1
3 Ho 0.5000 0.5000 0.2681 x2

---

No. 2
An optimized crystal structure of CaY14Ho. Source: Alexandria, functional PBE.

Results
* ΔH_f (0 K): 0.02 eV per atom
* ρ: 4.6 Mg/m³
* uncorrected energy: -6.05 eV per atom

abc: 11.3858 7.3224 12.6771
angles: 90.00 90.00 90.00
Space group Amm2 (No. 38)
Inequivalent atoms, fractional coordinates:
1 Ca 0.0000 0.0000 0.0000 x2
2 Y 0.0000 0.2494 0.7494 x4
3 Y 0.2470 0.0000 0.6664 x4
4 Y 0.2529 0.2470 0.4159 x8
5 Y 0.2541 0.0000 0.1685 x4
6 Y 0.5000 0.0000 0.0000 x2
7 Y 0.5000 0.0000 0.4999 x2
8 Y 0.5000 0.2501 0.2502 x4
9 Ho 0.0000 0.0000 0.5006 x2

---

No. 3
An optimized crystal structure of CaY12Ho6. Source: Alexandria, functional PBE.

Results
* ΔH_f (0 K): 0.04 eV per atom
* ρ: 5.7 Mg/m³
* uncorrected energy: -5.59 eV per atom

abc: 15.5720 15.5720 8.7496
angles: 90.00 90.00 120.00
Space group R-3 (No. 148, hexagonal axes)
Inequivalent atoms, fractional coordinates:
1 Ca 0.0000 0.0000 0.0000 x3
2 Y 0.0172 0.1422 0.6616 x18
3 Y 0.0658 0.5604 0.6676 x18
4 Ho 0.0347 0.2806 0.3297 x18

---

No. 4
An optimized crystal structure of CaYHo2. Source: Alexandria, functional PBE.

Results
* ΔH_f (0 K): 0.07 eV per atom
* ρ: 5.7 Mg/m³
* uncorrected energy: -4.33 eV per atom

abc: 3.5886 3.5886 36.1174
angles: 90.00 90.00 120.00
Space group R-3m (No. 166, hexagonal axes)
Inequivalent atoms, fractional coordinates:
1 Ca 0.0000 0.0000 0.0000 x3
2 Y 0.0000 0.0000 0.5000 x3
3 Ho 0.0000 0.0000 0.2452 x6

---

No. 5
An optimized crystal structure of Ca2Y2Ho. Source: Alexandria, functional PBE.

Results
* ΔH_f (0 K): 0.05 eV per atom
* ρ: 4.0 Mg/m³
* uncorrected energy: -4.25 eV per atom

abc: 6.3128 3.6443 15.3278
angles: 90.00 90.01 90.00
Space group C2/m (No. 12)
Inequivalent atoms, fractional coordinates:
1 Ca 0.1659 0.0000 0.3907 x4
2 Y 0.1656 0.0000 0.8157 x4
3 Ho 0.0000 0.5000 0.0000 x2

---

No. 6
An optimized crystal structure of CaY6Ho5. Source: Alexandria, functional PBE.

Results
* ΔH_f (0 K): 0.05 eV per atom
* ρ: 6.0 Mg/m³
* uncorrected energy: -5.26 eV per atom

abc: 5.0573 15.1905 10.0908
angles: 90.00 90.00 90.00
Space group Cmmm (No. 65)
Inequivalent atoms, fractional coordinates:
1 Ca 0.0000 0.0000 0.0000 x2
2 Y 0.0000 0.1695 0.2538 x8
3 Y 0.0000 0.5000 0.2590 x4
4 Ho 0.0000 0.0000 0.5000 x2
5 Ho 0.0000 0.3274 0.0000 x4
6 Ho 0.0000 0.3331 0.5000 x4

---

No. 7
An optimized crystal structure of CaY8Ho6. Source: Alexandria, functional PBE.

Results
* ΔH_f (0 K): 0.25 eV per atom
* ρ: 5.7 Mg/m³
* uncorrected energy: -5.17 eV per atom

abc: 9.5201 9.5201 6.5138
angles: 90.00 90.00 120.00
Space group P-3 (No. 147)
Inequivalent atoms, fractional coordinates:
1 Ca 0.0000 0.0000 0.0000 x1
2 Y 0.0231 0.3369 0.4045 x6
3 Y 0.3333 0.6667 0.6575 x2
4 Ho 0.1054 0.6775 0.0931 x6

---

No. 8
An optimized crystal structure of CaYHo2. Source: Alexandria, functional PBE.

Results
* ΔH_f (0 K): 0.14 eV per atom
* ρ: 5.8 Mg/m³
* uncorrected energy: -4.26 eV per atom

abc: 5.0881 5.0881 5.1106
angles: 90.00 90.00 90.00
Space group P4/mmm (No. 123)
Inequivalent atoms, fractional coordinates:
1 Ca 0.0000 0.0000 0.0000 x1
2 Y 0.5000 0.5000 0.0000 x1
3 Ho 0.0000 0.5000 0.5000 x2

---

No. 9
An optimized crystal structure of CaY6Ho12. Source: Alexandria, functional PBE.

Results
* ΔH_f (0 K): 0.44 eV per atom
* ρ: 6.4 Mg/m³
* uncorrected energy: -4.59 eV per atom

abc: 15.1475 15.1475 9.9927
angles: 90.00 90.00 120.00
Space group R-3m (No. 166, hexagonal axes)
Inequivalent atoms, fractional coordinates:
1 Ca 0.0000 0.0000 0.0000 x3
2 Y 0.0551 0.5276 0.2096 x18
3 Ho 0.0000 0.3898 0.5000 x18
4 Ho 0.0724 0.1448 0.2862 x18

---

No. 10
An optimized crystal structure of CaY12Ho5. Source: Alexandria, functional PBE.

Results
* ΔH_f (0 K): 0.04 eV per atom
* ρ: 5.5 Mg/m³
* uncorrected energy: -5.65 eV per atom

abc: 15.1683 15.1991 5.0500
angles: 90.00 90.00 90.00
Space group Cmmm (No. 65)
Inequivalent atoms, fractional coordinates:
1 Ca 0.0000 0.0000 0.0000 x2
2 Y 0.1661 0.3332 0.5000 x8
3 Y 0.1655 0.5000 0.0000 x4
4 Y 0.1677 0.1691 0.0000 x8
5 Y 0.1714 0.0000 0.5000 x4
6 Ho 0.0000 0.1736 0.5000 x4
7 Ho 0.0000 0.3337 0.0000 x4
8 Ho 0.0000 0.5000 0.5000 x2

---

No. 11
An optimized crystal structure of CaY6Ho2. Source: Alexandria, functional PBE.

Results
* ΔH_f (0 K): 0.13 eV per atom
* ρ: 4.9 Mg/m³
* uncorrected energy: -5.42 eV per atom

abc: 17.8923 9.6931 3.5671
angles: 90.00 101.34 90.00
Space group C2/m (No. 12)
Inequivalent atoms, fractional coordinates:
1 Ca 0.0000 0.0000 0.0000 x2
2 Y 0.0000 0.3325 0.5000 x4
3 Y 0.1730 0.1807 0.6733 x8
4 Ho 0.1475 0.5000 0.1451 x4

---

No. 12
An optimized crystal structure of CaYHo2. Source: Alexandria, functional PBE.

Results
* ΔH_f (0 K): 0.18 eV per atom
* ρ: 5.7 Mg/m³
* uncorrected energy: -4.23 eV per atom

abc: 8.1127 8.1127 8.1127
angles: 90.00 90.00 90.00
Space group Fm-3m (No. 225)
Inequivalent atoms, fractional coordinates:
1 Ca 0.0000 0.0000 0.0000 x4
2 Y 0.0000 0.0000 0.5000 x4
3 Ho 0.2500 0.2500 0.2500 x8

---

No. 13
An optimized crystal structure of CaYHo2. Source: Alexandria, functional PBE.

Results
* ΔH_f (0 K): 0.13 eV per atom
* ρ: 5.7 Mg/m³
* uncorrected energy: -4.28 eV per atom

abc: 23.9587 3.4834 6.4328
angles: 90.00 94.11 90.00
Space group C2/m (No. 12)
Inequivalent atoms, fractional coordinates:
1 Ca 0.0014 0.0000 0.2492 x4
2 Y 0.2482 0.0000 0.2481 x4
3 Ho 0.1271 0.5000 0.0373 x4
4 Ho 0.1353 0.0000 0.5462 x4

---

No. 14
An optimized crystal structure of Ca2HoZn. Source: Alexandria, functional PBE.

Results
* ΔH_f (0 K): -0.02 eV per atom
* ρ: 4.2 Mg/m³
* uncorrected energy: -2.48 eV per atom

abc: 3.5831 3.5831 9.4929
angles: 90.00 90.00 90.00
Space group P4/mmm (No. 123)
Inequivalent atoms, fractional coordinates:
1 Ca 0.0000 0.0000 0.2003 x2
2 Ho 0.5000 0.5000 0.5000 x1
3 Zn 0.5000 0.5000 0.0000 x1

---

No. 15
An optimized crystal structure of CaHo2Zn2. Source: Alexandria, functional PBE.

Results
* ΔH_f (0 K): -0.13 eV per atom
* ρ: 6.4 Mg/m³
* uncorrected energy: -2.87 eV per atom

abc: 3.6315 20.2795 3.5397
angles: 90.00 90.00 90.00
Space group Cmmm (No. 65)
Inequivalent atoms, fractional coordinates:
1 Ca 0.0000 0.0000 0.0000 x2
2 Ho 0.0000 0.1751 0.0000 x4
3 Zn 0.0000 0.4035 0.5000 x4

---

No. 16
An optimized crystal structure of Ca5HoZn6. Source: Alexandria, functional PBE.

Results
* ΔH_f (0 K): -0.26 eV per atom
* ρ: 4.3 Mg/m³
* uncorrected energy: -2.11 eV per atom

abc: 5.1583 15.4361 7.3368
angles: 90.00 90.00 90.00
Space group Cmmm (No. 65)
Inequivalent atoms, fractional coordinates:
1 Ca 0.0000 0.0000 0.0000 x2
2 Ca 0.0000 0.3324 0.5000 x4
3 Ca 0.0000 0.3329 0.0000 x4
4 Ho 0.0000 0.0000 0.5000 x2
5 Zn 0.0000 0.1619 0.2571 x8
6 Zn 0.0000 0.5000 0.2648 x4

---

No. 17
An optimized crystal structure of Ca3HoZn4. Source: Alexandria, functional PBE.

Results
* ΔH_f (0 K): -0.26 eV per atom
* ρ: 4.7 Mg/m³
* uncorrected energy: -2.22 eV per atom

abc: 3.6426 3.6426 14.5811
angles: 90.00 90.00 90.00
Space group P4/mmm (No. 123)
Inequivalent atoms, fractional coordinates:
1 Ca 0.0000 0.0000 0.0000 x1
2 Ca 0.0000 0.0000 0.2544 x2
3 Ho 0.0000 0.0000 0.5000 x1
4 Zn 0.5000 0.5000 0.1269 x2
5 Zn 0.5000 0.5000 0.3868 x2

---

No. 18
An optimized crystal structure of Ca2HoZn. Source: Alexandria, functional PBE.

Results
* ΔH_f (0 K): 0.20 eV per atom
* ρ: 4.0 Mg/m³
* uncorrected energy: -2.26 eV per atom

abc: 3.5979 3.5979 34.5781
angles: 90.00 90.00 120.00
Space group R-3m (No. 166, hexagonal axes)
Inequivalent atoms, fractional coordinates:
1 Ca 0.0000 0.0000 0.1000 x6
2 Ho 0.0000 0.0000 0.0000 x3
3 Zn 0.0000 0.0000 0.5000 x3

---

No. 19
An optimized crystal structure of CaHoZn2. Source: Alexandria, functional PBE.

Results
* ΔH_f (0 K): -0.30 eV per atom
* ρ: 6.0 Mg/m³
* uncorrected energy: -2.58 eV per atom

abc: 5.1041 5.1041 3.5862
angles: 90.00 90.00 90.00
Space group P4/mmm (No. 123)
Inequivalent atoms, fractional coordinates:
1 Ca 0.0000 0.0000 0.0000 x1
2 Ho 0.5000 0.5000 0.0000 x1
3 Zn 0.0000 0.5000 0.5000 x2

---

No. 20
An optimized crystal structure of CaHo2Zn. Source: Alexandria, functional PBE.

Results
* ΔH_f (0 K): -0.11 eV per atom
* ρ: 6.2 Mg/m³
* uncorrected energy: -3.21 eV per atom

abc: 3.6072 3.6072 9.0175
angles: 90.00 90.00 90.00
Space group P4/mmm (No. 123)
Inequivalent atoms, fractional coordinates:
1 Ca 0.0000 0.0000 0.0000 x1
2 Ho 0.5000 0.5000 0.3142 x2
3 Zn 0.0000 0.0000 0.5000 x1